[1]
Density functional theory data (meta-GGA SCAN) for a crystal of Na3IBr relaxed with PBEsol.

Cell lengths 5.982, 5.982, 5.982 Å; angles 90.00, 90.00, 90.00 degrees
Fractional coordinates of all 5 atoms:
Na 0.000 0.000 0.500
Na 0.000 0.500 0.000
Na 0.500 0.000 0.000
I 0.000 0.000 0.000
Br 0.500 0.500 0.500

Energy relative to the elements, uncorrected   -770 meV/atom
Space group   Pm-3m
ΔE to the lowest computed polymorph   178.8 meV per atom
Calculated volume   214.06 Å³/f.u.
ρ   2.14 g/cm³

***

[2]
Density functional theory data (meta-GGA SCAN) for a crystal of NaSrIBr2 relaxed with PBEsol.

Cell lengths 5.827, 5.827, 6.381 Å; angles 90.00, 90.00, 90.00 degrees
Fractional coordinates of all 5 atoms:
Na 0.000 0.000 0.000
Sr 0.500 0.500 0.500
I 0.500 0.500 0.000
Br 0.000 0.500 0.500
Br 0.500 0.000 0.500

Energy relative to the elements, uncorrected   -1733 meV/atom
Space group   P4/mmm
Calculated volume   216.70 Å³/f.u.
ρ   3.04 g/cm³

***

[3]
Density functional theory data (meta-GGA SCAN) for a crystal of NaTeI2Br relaxed with PBEsol.

Cell lengths 5.477, 5.477, 5.775 Å; angles 90.00, 90.00, 90.00 degrees
Fractional coordinates of all 5 atoms:
Na 0.000 0.000 0.000
Te 0.000 0.000 0.500
I 0.000 0.500 0.000
I 0.500 0.000 0.000
Br 0.500 0.500 0.500

Energy relative to the elements, uncorrected   241 meV/atom
Space group   P4/mmm
Calculated volume   173.24 Å³/f.u.
ρ   4.64 g/cm³

***

[4]
Density functional theory data (meta-GGA SCAN) for a crystal of I2BrO2 relaxed with PBEsol.

Cell lengths 4.097, 4.097, 7.572 Å; angles 90.00, 90.00, 90.00 degrees
Fractional coordinates of all 5 atoms:
I 0.000 0.000 0.000
I 0.000 0.000 0.500
Br 0.500 0.500 0.000
O 0.000 0.500 0.500
O 0.500 0.000 0.500

Energy relative to the elements, uncorrected   181 meV/atom
Space group   P4/mmm
Calculated volume   127.10 Å³/f.u.
ρ   4.78 g/cm³

***

[5]
Density functional theory data (meta-GGA SCAN) for a crystal of I3BrO relaxed with PBEsol.

Cell lengths 5.766, 5.766, 5.766 Å; angles 90.00, 90.00, 90.00 degrees
Fractional coordinates of all 5 atoms:
I 0.000 0.000 0.500
I 0.000 0.500 0.000
I 0.500 0.000 0.000
Br 0.000 0.000 0.000
O 0.500 0.500 0.500

Energy relative to the elements, uncorrected   968 meV/atom
Space group   Pm-3m
Calculated volume   191.70 Å³/f.u.
ρ   4.13 g/cm³

***

[6]
Density functional theory data (meta-GGA SCAN) for a crystal of IBrO2 relaxed with PBEsol.

Cell lengths 5.790, 5.790, 5.790 Å; angles 39.73, 39.73, 39.73 degrees
Fractional coordinates of all 4 atoms:
I 0.000 0.000 0.000
Br 0.500 0.500 0.500
O 0.370 0.370 0.370
O 0.630 0.630 0.630

Energy relative to the elements, uncorrected   197 meV/atom
Space group   R-3m
Calculated volume   71.39 Å³/f.u.
ρ   5.55 g/cm³

***

[7]
Density functional theory data (meta-GGA SCAN) for a crystal of OsI2BrO relaxed with PBEsol.

Cell lengths 5.540, 5.540, 3.707 Å; angles 90.00, 90.00, 90.00 degrees
Fractional coordinates of all 5 atoms:
Os 0.000 0.000 0.000
I 0.000 0.500 0.000
I 0.500 0.000 0.000
Br 0.500 0.500 0.500
O 0.000 0.000 0.500

Energy relative to the elements, uncorrected   128 meV/atom
Space group   P4/mmm
Calculated volume   113.79 Å³/f.u.
ρ   7.88 g/cm³

***

[8]
Density functional theory data (meta-GGA SCAN) for a crystal of PI2BrO relaxed with PBEsol.

Cell lengths 5.680, 5.680, 3.840 Å; angles 90.00, 90.00, 90.00 degrees
Fractional coordinates of all 5 atoms:
P 0.000 0.000 0.000
I 0.000 0.500 0.500
I 0.500 0.000 0.500
Br 0.500 0.500 0.500
O 0.500 0.500 0.000

Energy relative to the elements, uncorrected   1075 meV/atom
Space group   P4/mmm
Calculated volume   123.87 Å³/f.u.
ρ   5.10 g/cm³